4
Lattice="-0.525 3.236 -0.565 -3.001 1.053 -0.977 -4.434 2.932 11.116" Properties=species:S:1:pos:R:3 comment="Gd2TmPa, optimized geometry, DFT GGA-PBE" formation_enthalpy_0k_ev_per_fu=1.11 polymorph_energy_mev_per_atom=144 total_energy_ev_per_atom=-10.2555 total_magnetization_mub_per_cell=14.3 spacegroup="R-3m, No. 166" dos_at_fermi_per_ev_fu=6.4 pbc="T T T"
Tm -3.980 3.611 4.787
Gd -3.584 2.540 8.084
Gd -4.375 4.681 1.490
Pa 0.000 0.000 0.000